# 1
Entry from the Open Quantum Materials Database: crystalline PuNbGe at its relaxed geometry (PBE-GGA).

```
PuNbGe
1.0
0.000 3.239 3.239
3.239 0.000 3.239
3.239 3.239 0.000
Pu Nb Ge
1 1 1
Direct
0.000 0.000 0.000
0.750 0.750 0.750
0.250 0.250 0.250
```

Output
Calculated density (Mg/m³): 10.0
Calculated total energy (eV/atom): -8.819

=====

# 2
Entry from the Open Quantum Materials Database: crystalline PuNbGe at its relaxed geometry (PBE-GGA).

```
PuNbGe
1.0
0.000 3.197 3.197
3.197 0.000 3.197
3.197 3.197 0.000
Pu Nb Ge
1 1 1
Direct
0.000 0.000 0.000
0.750 0.750 0.750
0.500 0.500 0.500
```

Output
Calculated density (Mg/m³): 10.4
Calculated total energy (eV/atom): -9.380

=====

# 3
Entry from the Open Quantum Materials Database: crystalline RbNb3Ge5 at its relaxed geometry (PBE-GGA).

```
RbNb3Ge5
1.0
5.588 0.000 0.000
-2.794 4.839 0.000
0.000 0.000 6.804
Rb Nb Ge
1 3 5
Direct
0.000 0.000 0.000
0.000 0.500 0.500
0.500 0.000 0.500
0.500 0.500 0.500
0.000 0.000 0.500
0.333 0.667 0.184
0.333 0.667 0.816
0.667 0.333 0.184
0.667 0.333 0.816
```

Output
Calculated density (Mg/m³): 6.6
Calculated total energy (eV/atom): -6.152

=====

Question: Among the records above, which one has the lowest calculated total energy?
Answer: number 2